## A
Entry from the Alexandria database: an optimized crystal structure of CaTlTe2N (PBE-GGA).

```
CaTlTe2N
1.0
6.038 0.000 0.000
0.000 6.038 0.000
0.000 0.000 4.437
Ca Tl Te N
1 1 2 1
Direct
0.000 0.000 0.000
0.500 0.500 0.500
0.000 0.500 0.000
0.500 0.000 0.000
0.000 0.000 0.500
```

Results
The symmetry is No. 123. The density of states at the Fermi level comes out at 7.3 states/eV/cell.

## B
Entry from the Alexandria database: an optimized crystal structure of CaTlTe2N (PBE-GGA).

```
CaTlTe2N
1.0
5.917 0.000 0.000
0.000 5.917 0.000
0.000 0.000 4.408
Ca Tl Te N
1 1 2 1
Direct
0.000 0.000 0.000
0.500 0.500 0.500
0.000 0.500 0.500
0.500 0.000 0.500
0.500 0.500 0.000
```

Results
The symmetry is No. 123. The density of states at the Fermi level comes out at 3.2 states/eV/cell.

Result of the stability comparison: B is the most stable of them.

## A
Entry from the Alexandria database: an optimized crystal structure of CaThN (PBE-GGA).

```
CaThN
1.0
-2.552 2.552 4.118
2.552 -2.552 4.118
2.552 2.552 -4.118
Ca Th N
1 1 1
Direct
0.000 0.000 0.000
0.501 0.501 0.000
0.737 0.737 0.000
```

Results
The symmetry is No. 107. The density of states at the Fermi level comes out at 2.5 states/eV/cell.

## B
Entry from the Alexandria database: an optimized crystal structure of CaThN (PBE-GGA).

```
CaThN
1.0
3.542 0.000 0.000
0.000 3.542 0.000
0.000 0.000 12.598
Ca Th N
2 2 2
Direct
0.250 0.250 0.122
0.750 0.750 0.878
0.250 0.250 0.610
0.750 0.750 0.390
0.250 0.250 0.424
0.750 0.750 0.576
```

Results
The symmetry is No. 129. The density of states at the Fermi level comes out at 5.3 states/eV/cell.

Result of the stability comparison: B is the most stable of them.